No. 1
PBE-GGA MgCo2PRh, relaxed; magnetization = 0.0 Bohr magnetons per cell; Fermi-level density of states = 3.16 states/eV per cell; space group = No. 123; ΔH_f (0 K) = -0.122 eV per atom
1.0
-2.1917 -1.6264 3.0777
-1.4729 -3.1324 -2.7042
3.1961 -2.3813 1.0176
P Mg Co Rh
1 1 2 1
Direct
0.0000 0.0000 0.0000
0.5000 0.5000 0.5000
0.5000 0.0000 0.0000
0.0000 0.0000 0.5000
0.0000 0.5000 0.0000

No. 2
PBE-GGA MgCoP2Ru, relaxed; magnetization = 0.0 Bohr magnetons per cell; Fermi-level density of states = 2.42 states/eV per cell; space group = No. 119; ΔH_f (0 K) = -0.607 eV per atom
1.0
-1.9580 -2.3298 2.4466
2.9520 -2.5551 -0.0707
1.4398 4.5808 2.3982
Mg P Co Ru
1 2 1 1
Direct
0.0000 0.0000 0.0000
0.3791 0.3791 0.7582
0.6209 0.6209 0.2418
0.7500 0.2500 0.5000
0.2500 0.7500 0.5000

No. 3
PBE-GGA Mg2CoP2Ru, relaxed; magnetization = 0.8 Bohr magnetons per cell; Fermi-level density of states = 6.94 states/eV per cell; space group = No. 72; ΔH_f (0 K) = -0.558 eV per atom
1.0
-2.3174 4.7924 -1.2542
-3.4191 -0.5015 4.4011
6.8058 0.6424 1.8033
Mg P Co Ru
4 4 2 2
Direct
0.4228 0.1676 0.3351
0.0877 0.3325 0.6649
0.9123 0.6676 0.3351
0.5772 0.8324 0.6649
0.8463 0.1089 0.2179
0.1537 0.8911 0.7821
0.6285 0.3911 0.7821
0.3715 0.6089 0.2179
0.5000 0.2500 0.0000
0.5000 0.7500 0.0000
0.0000 0.2500 0.0000
0.0000 0.7500 0.0000

No. 4
PBE-GGA Mg2CoSnP, relaxed; polymorph energy (0 for the lowest one) = 0 meV per atom; magnetization = 0.0 Bohr magnetons per cell; Fermi-level density of states = 2.87 states/eV per cell; space group = No. 123; ΔH_f (0 K) = -0.016 eV per atom
1.0
-3.8768 3.1015 0.1210
-0.9924 -1.0906 -3.8416
-2.8635 -3.6485 1.7755
P Co Mg Sn
1 1 2 1
Direct
0.0000 0.5000 0.0000
0.0000 0.0000 0.0000
0.0000 0.0000 0.5000
0.5000 0.0000 0.0000
0.5000 0.5000 0.5000

No. 5
PBE-GGA Mg2CoSnP, relaxed; polymorph energy (0 for the lowest one) = 325 meV per atom; magnetization = 0.0 Bohr magnetons per cell; Fermi-level density of states = 1.41 states/eV per cell; space group = No. 123; ΔH_f (0 K) = 0.309 eV per atom
1.0
-1.3371 4.5343 -0.7000
-4.4448 -1.4125 -0.6593
-0.8446 0.4734 4.6798
Sn Mg Co P
1 2 1 1
Direct
0.0000 0.5000 0.0000
0.5000 0.0000 0.0000
0.0000 0.0000 0.5000
0.0000 0.0000 0.0000
0.5000 0.5000 0.5000

No. 6
PBE-GGA SrMgCoP, relaxed; magnetization = 1.3 Bohr magnetons per cell; Fermi-level density of states = 3.60 states/eV per cell; space group = No. 129; ΔH_f (0 K) = -0.495 eV per atom
1.0
3.9365 0.0000 0.0000
0.0000 3.9365 0.0000
0.0000 0.0000 11.6848
Mg Sr P Co
2 2 2 2
Direct
0.7500 0.2500 0.5000
0.2500 0.7500 0.5000
0.2500 0.2500 0.7791
0.7500 0.7500 0.2209
0.2500 0.2500 0.0947
0.7500 0.7500 0.9053
0.7500 0.2500 0.0000
0.2500 0.7500 0.0000

No. 7
PBE-GGA MgCoTe2P, relaxed; formation energy from raw total energies = 0.280 eV per atom; magnetization = 2.0 Bohr magnetons per cell; Fermi-level density of states = 2.48 states/eV per cell; space group = No. 123
1.0
-1.3218 -2.7607 -4.5534
-1.9655 -2.8491 2.2979
-4.6495 2.8852 -0.3996
P Te Co Mg
1 2 1 1
Direct
0.0000 0.0000 0.0000
0.5000 0.0000 0.0000
0.0000 0.0000 0.5000
0.0000 0.5000 0.0000
0.5000 0.5000 0.5000

No. 8
PBE-GGA ThMgCo2P2, relaxed; magnetization = 0.0 Bohr magnetons per cell; Fermi-level density of states = 4.65 states/eV per cell; space group = No. 164; ΔH_f (0 K) = -0.785 eV per atom
1.0
-1.1695 3.6693 0.9870
-2.5005 -3.0627 0.4161
2.2490 -0.9794 6.3061
P Co Mg Th
2 2 1 1
Direct
0.3333 0.6667 0.2844
0.6667 0.3333 0.7156
0.3333 0.6667 0.6782
0.6667 0.3333 0.3218
0.0000 0.0000 0.5000
0.0000 0.0000 0.0000

No. 9
PBE-GGA MgTiCo2P, relaxed; magnetization = 2.3 Bohr magnetons per cell; Fermi-level density of states = 4.57 states/eV per cell; space group = No. 123; ΔH_f (0 K) = 0.255 eV per atom
1.0
4.1420 0.0000 0.0000
0.0000 4.6019 0.0000
0.0000 0.0000 4.1420
Co Mg Ti P
2 1 1 1
Direct
0.5000 0.0000 0.0000
0.0000 0.0000 0.5000
0.0000 0.5000 0.0000
0.5000 0.5000 0.5000
0.0000 0.0000 0.0000

No. 10
PBE-GGA MgTi2CoP, relaxed; magnetization = 1.9 Bohr magnetons per cell; Fermi-level density of states = 4.91 states/eV per cell; space group = No. 123; ΔH_f (0 K) = 0.272 eV per atom
1.0
-1.1081 -3.8607 -2.1201
4.0076 0.1103 -2.2954
1.9689 -2.3898 3.3227
P Ti Mg Co
1 2 1 1
Direct
0.0000 0.0000 0.0000
0.0000 0.0000 0.5000
0.5000 0.0000 0.0000
0.0000 0.5000 0.0000
0.5000 0.5000 0.5000

No. 11
PBE-GGA MgVCoP2, relaxed; magnetization = 0.0 Bohr magnetons per cell; Fermi-level density of states = 3.80 states/eV per cell; space group = No. 123; ΔH_f (0 K) = 0.423 eV per atom
1.0
4.2812 0.0000 0.0000
0.0000 4.5027 0.0000
0.0000 0.0000 4.2812
Co P V Mg
1 2 1 1
Direct
0.0000 0.0000 0.0000
0.5000 0.0000 0.0000
0.0000 0.0000 0.5000
0.0000 0.5000 0.0000
0.5000 0.5000 0.5000

No. 12
PBE-GGA MgPa2Co, relaxed; polymorph energy (0 for the lowest one) = 243 meV per atom; magnetization = 0.0 Bohr magnetons per cell; Fermi-level density of states = 4.32 states/eV per cell; space group = No. 166; ΔH_f (0 K) = 0.238 eV per atom
1.0
-2.3281 2.3396 -0.3634
-3.2144 -0.8177 0.1574
-1.7709 2.1605 10.0843
Pa Co Mg
2 1 1
Direct
0.1086 0.1086 0.6741
0.8914 0.8914 0.3259
0.5000 0.5000 0.5000
0.0000 0.0000 0.0000

No. 13
PBE-GGA Mg3PaCo8, relaxed; magnetization = 8.6 Bohr magnetons per cell; Fermi-level density of states = 14.94 states/eV per cell; space group = No. 160; ΔH_f (0 K) = -0.102 eV per atom
1.0
4.8677 0.0000 0.0000
2.4338 4.2156 0.0000
2.4338 1.4052 8.0550
Co Pa Mg
8 1 3
Direct
0.6882 0.6882 0.9354
0.9381 0.9381 0.6902
0.9381 0.4336 0.6902
0.9401 0.4386 0.1828
0.4336 0.9381 0.6902
0.4386 0.9401 0.1828
0.1873 0.1873 0.4381
0.4386 0.4386 0.1828
0.8770 0.8770 0.3691
0.3733 0.3733 0.8801
0.4921 0.4921 0.5236
0.0051 0.0051 0.9847

No. 14
PBE-GGA MgPa2Co9, relaxed; magnetization = 7.3 Bohr magnetons per cell; Fermi-level density of states = 11.89 states/eV per cell; space group = No. 166; ΔH_f (0 K) = -0.160 eV per atom
1.0
4.8225 0.0000 0.0000
2.4113 4.1764 0.0000
2.4113 1.3921 8.1720
Co Pa Mg
9 2 1
Direct
0.5810 0.0816 0.7564
0.6669 0.6669 0.9993
0.9184 0.4190 0.2436
0.0816 0.5810 0.7564
0.5000 0.5000 0.5000
0.3331 0.3331 0.0007
0.5810 0.5810 0.7564
0.4190 0.4190 0.2436
0.4190 0.9184 0.2436
0.8648 0.8648 0.4056
0.1352 0.1352 0.5944
0.0000 0.0000 0.0000

No. 15
PBE-GGA MgPa2Co, relaxed; polymorph energy (0 for the lowest one) = 0 meV per atom; magnetization = 0.0 Bohr magnetons per cell; Fermi-level density of states = 6.56 states/eV per cell; space group = No. 123; ΔH_f (0 K) = -0.005 eV per atom
1.0
3.1077 0.0000 0.0000
0.0000 3.1077 0.0000
0.0000 0.0000 8.8046
Pa Co Mg
2 1 1
Direct
0.0000 0.0000 0.2000
0.0000 0.0000 0.8000
0.5000 0.5000 0.0000
0.5000 0.5000 0.5000

No. 16
PBE-GGA MgPaCoPd, relaxed; magnetization = 0.0 Bohr magnetons per cell; Fermi-level density of states = 5.49 states/eV per cell; space group = No. 216; ΔH_f (0 K) = -0.266 eV per atom
1.0
4.6853 0.0000 0.0000
2.3426 4.0576 0.0000
2.3426 1.3525 3.8255
Pd Mg Co Pa
1 1 1 1
Direct
0.0000 0.0000 0.0000
0.7500 0.7500 0.7500
0.5000 0.5000 0.5000
0.2500 0.2500 0.2500

No. 17
PBE-GGA MgPaCoPt, relaxed; magnetization = 0.0 Bohr magnetons per cell; Fermi-level density of states = 5.58 states/eV per cell; space group = No. 216; ΔH_f (0 K) = -0.457 eV per atom
1.0
4.6915 0.0000 0.0000
2.3457 4.0629 0.0000
2.3457 1.3543 3.8306
Co Pa Pt Mg
1 1 1 1
Direct
0.0000 0.0000 0.0000
0.7500 0.7500 0.7500
0.5000 0.5000 0.5000
0.2500 0.2500 0.2500

No. 18
PBE-GGA MgPa2Co4Si3, relaxed; formation energy from raw total energies = -0.592 eV per atom; magnetization = 0.0 Bohr magnetons per cell; Fermi-level density of states = 10.17 states/eV per cell; space group = No. 115
1.0
3.8692 0.0000 0.0000
0.0000 3.8692 0.0000
0.0000 0.0000 10.1176
Si Co Pa Mg
3 4 2 1
Direct
0.0000 0.0000 0.5000
0.5000 0.0000 0.8782
0.0000 0.5000 0.1218
0.5000 0.5000 0.0000
0.0000 0.0000 0.0000
0.0000 0.5000 0.3458
0.5000 0.0000 0.6542
0.0000 0.5000 0.7564
0.5000 0.0000 0.2436
0.5000 0.5000 0.5000

No. 19
PBE-GGA MgPaCoTc, relaxed; magnetization = 0.0 Bohr magnetons per cell; Fermi-level density of states = 1.58 states/eV per cell; space group = No. 216; ΔH_f (0 K) = -0.111 eV per atom
1.0
-0.4329 -1.7087 -4.2277
0.0575 -4.5330 -0.6551
-3.8393 -2.1890 -1.2035
Tc Pa Mg Co
1 1 1 1
Direct
0.7500 0.7500 0.7500
0.0000 0.0000 0.0000
0.5000 0.5000 0.5000
0.2500 0.2500 0.2500

No. 20
PBE-GGA Mg2CoPb, relaxed; magnetization = 2.1 Bohr magnetons per cell; Fermi-level density of states = 11.84 states/eV per cell; space group = No. 122; ΔH_f (0 K) = 0.445 eV per atom
1.0
-1.0634 1.2549 -3.7901
-2.5885 -3.2029 -0.3342
-9.1191 4.5169 1.8022
Pb Mg Co
2 4 2
Direct
0.7500 0.2500 0.5000
0.0000 0.0000 0.0000
0.8750 0.8515 0.7500
0.1485 0.6250 0.2500
0.6015 0.1250 0.2500
0.3750 0.3985 0.7500
0.2500 0.7500 0.5000
0.5000 0.5000 0.0000